The following is a DFT calculation (GGA-PBE) of a geometry-optimized TcIrRu2 structure.

It has space group Fmmm (No. 69), with a = 5.452 Å, b = 5.470 Å, c = 7.622 Å, α = 90.00°, β = 90.00° and γ = 90.00°. The asymmetric unit holds Tc at (0.000, 0.000, 0.000), Ir at (0.000, 0.000, 0.500) and Ru at (0.250, 0.250, 0.250).

The calculation puts the energy above the most stable polymorph in this dataset at 10.0 kJ per mole of atoms. As for the crystal system: orthorhombic. The calculation puts the density of states at the Fermi level at 12.6 states/eV/cell. The value obtained for the formation energy is -0.032 eV per atom.